No. 1
This record from the Alexandria database describes crystalline Be2InCo at its relaxed geometry. The functional is PBE.

ΔH_f (0 K): 0.434 eV/atom
total magnetic moment: 0.000 μB/f.u.
DFT total energy: -3.89 eV/atom

Lattice parameters (Å, degrees): 3.935 3.935 8.054 75.86 75.86 90.00
Atoms (fractional coordinates):
1 Be 0.383 0.125 0.250
2 Be 0.367 0.625 0.250
3 Be 0.375 0.617 0.750
4 Be 0.875 0.633 0.750
5 Co 0.500 0.500 0.000
6 Co 0.250 0.750 0.500
7 In 0.000 0.000 0.000
8 In 0.750 0.250 0.500

No. 2
This record from the Alexandria database describes crystalline Be2InCo at its relaxed geometry. The functional is PBE.

ΔH_f (0 K): 0.140 eV/atom
total magnetic moment: 0.000 μB/f.u.
DFT total energy: -4.18 eV/atom

Lattice parameters (Å, degrees): 2.881 2.880 5.875 90.00 90.00 90.00
Atoms (fractional coordinates):
1 Be 0.000 0.000 0.067
2 Be 0.500 0.500 0.261
3 Co 0.000 0.000 0.428
4 In 0.500 0.500 0.744

No. 3
This record from the Alexandria database describes crystalline Be2InCo at its relaxed geometry. The functional is PBE.

ΔH_f (0 K): 0.193 eV/atom
total magnetic moment: 0.002 μB/f.u.
DFT total energy: -4.13 eV/atom

Lattice parameters (Å, degrees): 4.470 4.470 4.470 132.21 132.21 69.89
Atoms (fractional coordinates):
1 Be 0.000 0.000 0.000
2 Be 0.500 0.500 0.000
3 Co 0.250 0.750 0.500
4 In 0.750 0.250 0.500

No. 4
This record from the Alexandria database describes crystalline Be2InCo2 at its relaxed geometry. The functional is PBE.

ΔH_f (0 K): -0.063 eV/atom
total magnetic moment: 0.002 μB/f.u.
DFT total energy: -4.94 eV/atom
energy relative to the lowest polymorph listed for this composition: 0.000 eV/atom

Lattice parameters (Å, degrees): 6.342 6.342 2.763 90.00 90.00 90.00
Atoms (fractional coordinates):
1 Be 0.381 0.881 0.000
2 Be 0.881 0.619 0.000
3 Be 0.619 0.119 0.000
4 Be 0.119 0.381 0.000
5 Co 0.164 0.664 0.500
6 Co 0.664 0.836 0.500
7 Co 0.836 0.336 0.500
8 Co 0.336 0.164 0.500
9 In 0.000 0.000 0.000
10 In 0.500 0.500 0.000

Look up the DFT total energy of the first one. -3.89 eV/atom